A relaxed structure of Tm2Ni, computed with PBE.

Structure (POSCAR):
```
Tm2Ni
1.0
0.000 4.111 4.111
4.111 0.000 4.111
4.111 4.111 0.000
Tm Ni
4 2
direct
0.625 0.125 0.625
0.625 0.625 0.625
0.625 0.625 0.125
0.125 0.625 0.625
0.250 0.250 0.250
0.000 0.000 0.000
```

Results
The value obtained for the calculated volume is 138.9 Å³ per cell. The uncorrected energy comes out at -3.98 eV/atom. As for the space group: No. 227.